The following is a DFT calculation (GGA+U) of a relaxed MgV2O4 crystal.

Geometry as POSCAR:
```
MgV2O4
1.0
-3.346 1.630 6.474
-4.858 -0.839 5.609
1.637 -3.907 8.295
V O Mg
4 8 2
direct
0.137 0.137 0.039 V
0.863 0.863 0.961 V
0.366 0.366 0.319 V
0.634 0.634 0.681 V
0.863 0.863 0.180 O
0.777 0.777 0.858 O
0.172 0.172 0.486 O
0.828 0.828 0.514 O
0.533 0.533 0.189 O
0.467 0.467 0.811 O
0.223 0.223 0.142 O
0.137 0.137 0.820 O
0.685 0.685 0.322 Mg
0.315 0.315 0.678 Mg
```

Summary:
As for the magnetic moment: 4.0 μB/f.u. The energy is -7.340 eV/atom. The value obtained for the energy above the lowest structure with this stoichiometry is 0.72 eV per formula unit. For the calculated volume, the calculation gives 11.60 Å³/atom.